# 1
DFT (PBE) results for a geometry-optimized LaHoEr2Te6 structure.

- uncorrected formation energy (eV/atom) = -1.38

```
data_LaHoEr2Te6
_chemical_formula_sum 'La3 Ho3 Er6 Te18'
_cell_length_a 7.7839
_cell_length_b 7.7839
_cell_length_c 21.0342
_cell_angle_alpha 90.00
_cell_angle_beta 90.00
_cell_angle_gamma 120.00
_space_group_name_H-M_alt 'R 3'
_space_group_IT_number 146
_space_group_name_Hall 'R 3'
loop_
_atom_site_label
_atom_site_type_symbol
_atom_site_fract_x
_atom_site_fract_y
_atom_site_fract_z
La1 La 0.0000 0.0000 0.0000
Ho1 Ho 0.0000 0.0000 0.4946
Er1 Er 0.0000 0.0000 0.3059
Er2 Er 0.0000 0.0000 0.8091
Te1 Te 0.0064 0.3194 0.8981
Te2 Te 0.0167 0.6397 0.0662
```



# 2
DFT (PBE) results for a geometry-optimized La2Ho3ErTe6 structure.

- uncorrected formation energy (eV/atom) = -1.36
- Fermi-level density of states (states/eV per atom) = 0.602

```
data_La2Ho3ErTe6
_chemical_formula_sum 'La4 Ho6 Er2 Te12'
_cell_length_a 19.276
_cell_length_b 4.384
_cell_length_c 8.898
_cell_angle_alpha 90.00
_cell_angle_beta 103.61
_cell_angle_gamma 90.00
_space_group_name_H-M_alt 'C 1 2/m 1'
_space_group_IT_number 12
loop_
_space_group_symop_operation_xyz
'x,y,z'
'-x,-y,-z'
'-x,y,-z'
'x,-y,z'
'x+1/2,y+1/2,z'
'-x+1/2,-y+1/2,-z'
'-x+1/2,y+1/2,-z'
'x+1/2,-y+1/2,z'
loop_
_atom_site_label
_atom_site_type_symbol
_atom_site_fract_x
_atom_site_fract_y
_atom_site_fract_z
La1 La 0.168 0.000 0.335
Ho1 Ho 0.000 0.500 0.500
Ho2 Ho 0.173 0.000 0.835
Er1 Er 0.000 0.500 0.000
Te1 Te 0.006 0.000 0.754
Te2 Te 0.162 0.500 0.593
Te3 Te 0.163 0.500 0.069
```



- uncorrected formation energy of number 1 (LaHoEr2Te6)?
  -1.38 eV/atom



- Which value of uncorrected formation energy does entry 1 give?
  -1.38 eV/atom



- Which value of uncorrected formation energy does entry 2 give?
  -1.36 eV/atom



Repeat the second record exactly.
DFT (PBE) results for a geometry-optimized La2Ho3ErTe6 structure.

- uncorrected formation energy (eV/atom) = -1.36
- Fermi-level density of states (states/eV per atom) = 0.602

```
data_La2Ho3ErTe6
_chemical_formula_sum 'La4 Ho6 Er2 Te12'
_cell_length_a 19.276
_cell_length_b 4.384
_cell_length_c 8.898
_cell_angle_alpha 90.00
_cell_angle_beta 103.61
_cell_angle_gamma 90.00
_space_group_name_H-M_alt 'C 1 2/m 1'
_space_group_IT_number 12
loop_
_space_group_symop_operation_xyz
'x,y,z'
'-x,-y,-z'
'-x,y,-z'
'x,-y,z'
'x+1/2,y+1/2,z'
'-x+1/2,-y+1/2,-z'
'-x+1/2,y+1/2,-z'
'x+1/2,-y+1/2,z'
loop_
_atom_site_label
_atom_site_type_symbol
_atom_site_fract_x
_atom_site_fract_y
_atom_site_fract_z
La1 La 0.168 0.000 0.335
Ho1 Ho 0.000 0.500 0.500
Ho2 Ho 0.173 0.000 0.835
Er1 Er 0.000 0.500 0.000
Te1 Te 0.006 0.000 0.754
Te2 Te 0.162 0.500 0.593
Te3 Te 0.163 0.500 0.069
```